No. 1
# GGA-PBE CaCuAg3, relaxed
data_CaCuAg3
_cell_length_a 5.3986
_cell_length_b 5.3986
_cell_length_c 5.3986
_cell_angle_alpha 90.00
_cell_angle_beta 90.00
_cell_angle_gamma 90.00
_space_group_name_H-M_alt 'P m -3 m'
_space_group_IT_number 221
_space_group_name_Hall '-P 4 2 3'
loop_
_atom_site_label
_atom_site_fract_x
_atom_site_fract_y
_atom_site_fract_z
_atom_site_occupancy
Ca1 0.0000 0.0000 0.0000 1
Cu1 0.5000 0.5000 0.5000 1
Ag1 0.0000 0.0000 0.5000 1
# * E above lowest polymorph: 5.27 eV/f.u.
# * formation energy: 1.166 eV/atom
# * E: -1.7645 eV per atom
# * M_tot: 0.000 μB per atom
# * DOS at the Fermi energy: 3.622 states/eV/f.u.

=====

No. 2
# GGA-PBE Ca4Cu2Ag5, relaxed
data_Ca4Cu2Ag5
_cell_length_a 7.2450
_cell_length_b 4.2160
_cell_length_c 8.4374
_cell_angle_alpha 90.00
_cell_angle_beta 92.33
_cell_angle_gamma 90.00
_space_group_name_H-M_alt 'P 1 2/m 1'
_space_group_IT_number 10
loop_
_space_group_symop_operation_xyz
'x,y,z'
'-x,-y,-z'
'-x,y,-z'
'x,-y,z'
loop_
_atom_site_label
_atom_site_fract_x
_atom_site_fract_y
_atom_site_fract_z
_atom_site_occupancy
Ca1 0.2162 0.0000 0.3640 1
Ca2 0.2425 0.0000 0.9015 1
Cu1 0.0795 0.5000 0.1269 1
Ag1 0.1398 0.5000 0.6319 1
Ag2 0.4463 0.5000 0.1622 1
Ag3 0.5000 0.5000 0.5000 1
# * formation energy: -0.226 eV/atom
# * E: -2.9951 eV per atom
# * M_tot: 0.000 μB per atom
# * DOS at the Fermi energy: 3.939 states/eV/f.u.

=====

No. 3
# GGA-PBE Ca2Cu2Ag, relaxed
data_Ca2Cu2Ag
_cell_length_a 8.1842
_cell_length_b 8.1842
_cell_length_c 3.5267
_cell_angle_alpha 90.00
_cell_angle_beta 90.00
_cell_angle_gamma 90.00
_space_group_name_H-M_alt 'P 4/m b m'
_space_group_IT_number 127
_space_group_name_Hall '-P 4 2ab'
loop_
_atom_site_label
_atom_site_fract_x
_atom_site_fract_y
_atom_site_fract_z
_atom_site_occupancy
Ca1 0.1753 0.3247 0.0000 1
Cu1 0.1097 0.6097 0.5000 1
Ag1 0.0000 0.0000 0.0000 1
# * E above lowest polymorph: 1.40 eV/f.u.
# * formation energy: 0.096 eV/atom
# * E: -2.9133 eV per atom
# * M_tot: 0.000 μB per atom
# * DOS at the Fermi energy: 3.323 states/eV/f.u.

=====

No. 4
# GGA-PBE Ca4CuAg, relaxed
data_Ca4CuAg
_cell_length_a 9.3706
_cell_length_b 9.3706
_cell_length_c 9.3706
_cell_angle_alpha 90.00
_cell_angle_beta 90.00
_cell_angle_gamma 90.00
_space_group_name_H-M_alt 'F -4 3 m'
_space_group_IT_number 216
_space_group_name_Hall 'F -4 2 3'
loop_
_atom_site_label
_atom_site_fract_x
_atom_site_fract_y
_atom_site_fract_z
_atom_site_occupancy
Ca1 0.1250 0.1250 0.1250 1
Cu1 0.2500 0.2500 0.7500 1
Ag1 0.0000 0.0000 0.5000 1
# * E above lowest polymorph: 4.43 eV/f.u.
# * formation energy: 0.595 eV/atom
# * E: -1.8970 eV per atom
# * M_tot: 0.000 μB per atom
# * DOS at the Fermi energy: 7.414 states/eV/f.u.

=====

No. 5
# GGA-PBE Ca2Cu2Ag, relaxed
data_Ca2Cu2Ag
_cell_length_a 9.9146
_cell_length_b 5.6568
_cell_length_c 8.0247
_cell_angle_alpha 90.00
_cell_angle_beta 104.06
_cell_angle_gamma 90.00
_space_group_name_H-M_alt 'C 1 2/c 1'
_space_group_IT_number 15
loop_
_space_group_symop_operation_xyz
'x,y,z'
'-x,-y,-z'
'-x,y,-z+1/2'
'x,-y,z+1/2'
'x+1/2,y+1/2,z'
'-x+1/2,-y+1/2,-z'
'-x+1/2,y+1/2,-z+1/2'
'x+1/2,-y+1/2,z+1/2'
loop_
_atom_site_label
_atom_site_fract_x
_atom_site_fract_y
_atom_site_fract_z
_atom_site_occupancy
Ca1 0.1479 0.1435 0.1473 1
Cu1 0.1411 0.3577 0.5016 1
Ag1 0.0000 0.3526 0.7500 1
# * E above lowest polymorph: 0.00 eV/f.u.
# * formation energy: -0.185 eV/atom
# * E: -3.1940 eV per atom
# * M_tot: 0.000 μB per atom
# * DOS at the Fermi energy: 2.646 states/eV/f.u.

=====

No. 6
# GGA-PBE Ca2Cu2Ag, relaxed
data_Ca2Cu2Ag
_cell_length_a 7.3792
_cell_length_b 7.3792
_cell_length_c 4.0450
_cell_angle_alpha 90.00
_cell_angle_beta 90.00
_cell_angle_gamma 90.00
_space_group_name_H-M_alt 'P 4/m b m'
_space_group_IT_number 127
_space_group_name_Hall '-P 4 2ab'
loop_
_atom_site_label
_atom_site_fract_x
_atom_site_fract_y
_atom_site_fract_z
_atom_site_occupancy
Ca1 0.1791 0.3209 0.0000 1
Cu1 0.1176 0.6176 0.5000 1
Ag1 0.0000 0.0000 0.5000 1
# * E above lowest polymorph: 0.12 eV/f.u.
# * formation energy: -0.161 eV/atom
# * E: -3.1701 eV per atom
# * M_tot: 0.000 μB per atom
# * DOS at the Fermi energy: 1.779 states/eV/f.u.

=====

No. 7
# GGA-PBE CaCuAg, relaxed
data_CaCuAg
_cell_length_a 6.8193
_cell_length_b 6.8193
_cell_length_c 6.8193
_cell_angle_alpha 90.00
_cell_angle_beta 90.00
_cell_angle_gamma 90.00
_space_group_name_H-M_alt 'F -4 3 m'
_space_group_IT_number 216
_space_group_name_Hall 'F -4 2 3'
loop_
_atom_site_label
_atom_site_fract_x
_atom_site_fract_y
_atom_site_fract_z
_atom_site_occupancy
Ca1 0.0000 0.0000 0.0000 1
Cu1 0.2500 0.2500 0.7500 1
Ag1 0.2500 0.2500 0.2500 1
# * E above lowest polymorph: 1.56 eV/f.u.
# * formation energy: 0.318 eV/atom
# * E: -2.6647 eV per atom
# * M_tot: 0.000 μB per atom
# * DOS at the Fermi energy: 1.358 states/eV/f.u.

=====

No. 8
# GGA-PBE CaCu9Ag2, relaxed
data_CaCu9Ag2
_cell_length_a 4.9906
_cell_length_b 4.9906
_cell_length_c 24.3356
_cell_angle_alpha 90.00
_cell_angle_beta 90.00
_cell_angle_gamma 120.00
_space_group_name_H-M_alt 'R -3 m'
_space_group_IT_number 166
_space_group_name_Hall '-R 3 2"'
loop_
_atom_site_label
_atom_site_fract_x
_atom_site_fract_y
_atom_site_fract_z
_atom_site_occupancy
Ca1 0.0000 0.0000 0.0000 1
Cu1 0.0000 0.0000 0.3334 1
Cu2 0.0000 0.0000 0.5000 1
Cu3 0.0026 0.5013 0.9153 1
Ag1 0.0000 0.0000 0.1460 1
# * formation energy: -0.042 eV/atom
# * E: -3.7558 eV per atom
# * M_tot: 0.000 μB per atom
# * DOS at the Fermi energy: 3.882 states/eV/f.u.

=====

No. 9
# GGA-PBE Ca6Cu2Ag, relaxed
data_Ca6Cu2Ag
_cell_length_a 9.8316
_cell_length_b 10.0518
_cell_length_c 10.8024
_cell_angle_alpha 90.00
_cell_angle_beta 90.00
_cell_angle_gamma 90.00
_space_group_name_H-M_alt 'I m m m'
_space_group_IT_number 71
_space_group_name_Hall '-I 2 2'
loop_
_atom_site_label
_atom_site_fract_x
_atom_site_fract_y
_atom_site_fract_z
_atom_site_occupancy
Ca1 0.0000 0.1967 0.2362 1
Ca2 0.1974 0.5000 0.1746 1
Ca3 0.2181 0.3180 0.5000 1
Cu1 0.0000 0.3686 0.0000 1
Cu2 0.0000 0.5000 0.3854 1
Ag1 0.0000 0.0000 0.0000 1
Ag2 0.0000 0.0000 0.5000 1
# * formation energy: -0.131 eV/atom
# * E: -2.6926 eV per atom
# * M_tot: 0.000 μB per atom
# * DOS at the Fermi energy: 6.746 states/eV/f.u.

=====

No. 10
# GGA-PBE Ca2Cu5Ag5, relaxed
data_Ca2Cu5Ag5
_cell_length_a 4.4690
_cell_length_b 5.1797
_cell_length_c 9.4997
_cell_angle_alpha 90.00
_cell_angle_beta 90.00
_cell_angle_gamma 90.00
_space_group_name_H-M_alt 'P m m m'
_space_group_IT_number 47
loop_
_space_group_symop_operation_xyz
'x,y,z'
'-x,-y,-z'
'-x,-y,z'
'x,y,-z'
'x,-y,-z'
'-x,y,z'
'-x,y,-z'
'x,-y,z'
loop_
_atom_site_label
_atom_site_fract_x
_atom_site_fract_y
_atom_site_fract_z
_atom_site_occupancy
Ca1 0.0000 0.0000 0.0000 1
Ca2 0.0000 0.5000 0.5000 1
Cu1 0.5000 0.0000 0.5000 1
Cu2 0.5000 0.2502 0.2623 1
Ag1 0.0000 0.0000 0.3340 1
Ag2 0.0000 0.5000 0.1797 1
Ag3 0.5000 0.5000 0.0000 1
# * formation energy: -0.096 eV/atom
# * E: -3.3246 eV per atom
# * M_tot: 0.000 μB per atom
# * DOS at the Fermi energy: 5.518 states/eV/f.u.

=====

No. 11
# GGA-PBE Ca2CuAg3, relaxed
data_Ca2CuAg3
_cell_length_a 4.6060
_cell_length_b 5.6334
_cell_length_c 11.2498
_cell_angle_alpha 90.00
_cell_angle_beta 90.00
_cell_angle_gamma 90.00
_space_group_name_H-M_alt 'I m m m'
_space_group_IT_number 71
_space_group_name_Hall '-I 2 2'
loop_
_atom_site_label
_atom_site_fract_x
_atom_site_fract_y
_atom_site_fract_z
_atom_site_occupancy
Ca1 0.0000 0.0000 0.2007 1
Cu1 0.0000 0.0000 0.5000 1
Ag1 0.0000 0.5000 0.1194 1
Ag2 0.0000 0.5000 0.5000 1
# * E above lowest polymorph: 1.26 eV/f.u.
# * formation energy: -0.006 eV/atom
# * E: -2.7819 eV per atom
# * M_tot: 0.000 μB per atom
# * DOS at the Fermi energy: 2.393 states/eV/f.u.

=====

No. 12
# GGA-PBE CaCu4Ag8, relaxed
data_CaCu4Ag8
_cell_length_a 9.3794
_cell_length_b 9.3794
_cell_length_c 5.1235
_cell_angle_alpha 90.00
_cell_angle_beta 90.00
_cell_angle_gamma 90.00
_space_group_name_H-M_alt 'I 4/m m m'
_space_group_IT_number 139
_space_group_name_Hall '-I 4 2'
loop_
_atom_site_label
_atom_site_fract_x
_atom_site_fract_y
_atom_site_fract_z
_atom_site_occupancy
Ca1 0.0000 0.0000 0.0000 1
Cu1 0.2500 0.2500 0.2500 1
Ag1 0.0000 0.2171 0.5000 1
Ag2 0.0000 0.3488 0.0000 1
# * formation energy: -0.037 eV/atom
# * E: -3.2056 eV per atom
# * M_tot: 0.000 μB per atom
# * DOS at the Fermi energy: 4.435 states/eV/f.u.